The following is a GGA-PBE calculation of Ca2LaDy after structural relaxation, from the Alexandria database.

Cell lengths 3.6072, 3.6072, 13.4714 Å; angles 82.31, 82.31, 60.00 degrees
Site moments in Bohr magnetons follow the coordinates.
Fractional positions:
1 Ca 0.0896 0.0896 0.7313  0.03
2 Ca 0.9104 0.9104 0.2687  0.03
3 La 0.0000 0.0000 0.0000  0.09
4 Dy 0.5000 0.5000 0.5000  0.23

Output
- ΔE_f: 0.20 eV/atom
- DFT total energy: -3.19 eV/atom
- Energy above the most stable polymorph in this dataset: 92 meV/atom
- Size of the total moment: 0.7 μB/cell
- DOS at the Fermi energy: 7.5 states/eV/f.u.